## SmTmZr2 (PBE)

Data for crystalline SmTmZr2 at its relaxed geometry.

Values from the calculation:
**Formation enthalpy at 0 K**: 131 meV/atom
**Offset from the most stable computed form**: 0.0000 eV/atom
**Crystal system**: trigonal
**Volume**: 26.74 A^3/atom
**Space-group type**: R3m, No. 160

```
SmTmZr2
1.0
-1.302 -2.951 -0.952
-1.294 -2.084 2.300
-10.637 3.031 -0.783
Sm Tm Zr
1 1 2
Cartesian
-6.616 -1.003 0.283 Sm
-12.364 -0.330 0.117 Tm
-8.240 1.877 -0.481 Zr
-3.268 -0.519 0.146 Zr
```